DFT (PBE-GGA) results for a relaxed Ce2Zn3Ga5 crystal.

abc: 10.4770 12.1717 6.0525
angles: 90.00 90.00 90.00
With the nearest neighbours (Å) after each atom.
Space group Ibam (No. 72)
Symmetry-distinct sites (fractional):
Ce  0.2453  0.1257  0.0000 (multiplicity 8)  10 Ga 3.20-3.38, 6 Zn 3.27-3.43
Zn  0.0000  0.5000  0.2500 (multiplicity 4)  4 Ga 2.56
Zn  0.1280  0.1284  0.5000 (multiplicity 8)  5 Ga 2.42-2.56
Ga  0.0000  0.0000  0.2500 (multiplicity 4)  4 Zn 2.56
Ga  0.0000  0.2571  0.2500 (multiplicity 8)  2 Zn 2.56, 2 Ga 2.60
Ga  0.1411  0.3814  0.0000 (multiplicity 8)  3 Zn 2.42-2.56, 2 Ga 2.60

Results
Calculated volume, Å³/atom: 19.3
DFT formation energy, eV/atom: -0.43
Energy above the lowest structure with this stoichiometry, meV per atom: 0
Fermi-level density of states, states/eV per cell: 58.9
Crystal system: orthorhombic
Final energy, eV per cell: -140.569

---

DFT (PBE-GGA) results for a relaxed Li5Nd3S12 crystal.

abc: 16.1375 16.1375 16.1375
angles: 90.00 90.00 90.00
With the nearest neighbours (Å) after each atom.
Space group Ia-3d (No. 230)
Symmetry-distinct sites (fractional):
Li  0.0000  0.0000  0.0000 (multiplicity 16)  6 S 3.32
Li  0.0000  0.2500  0.3750 (multiplicity 24)  4 S 2.46
Nd  0.0000  0.2500  0.1250 (multiplicity 24)  8 S 2.79-2.93
S  0.0192  0.0885  0.6844 (multiplicity 96)  1 S 2.27, 1 Li 2.46

Results
Calculated volume, Å³/atom: 26.3
Fermi-level density of states, states/eV per cell: 63.3
Uncorrected formation energy, meV/atom: -955.8
Crystal system: cubic
Final energy, eV per cell: -740.140